Record 1
# La2NpNi3Pt12 | Alexandria via LeMat-Bulk | PBE | relaxed
# formation energy from the elements	-0.1259	eV per atom
# total magnetic moment	0.317	μB/f.u.
# N(E_F)	1.1148	states/eV per atom
# energy	-114.90	eV per formula unit
data_La2NpNi3Pt12
_chemical_formula_sum 'La6 Np3 Ni9 Pt36'
_cell_length_a 8.0110
_cell_length_b 8.0110
_cell_length_c 20.1920
_cell_angle_alpha 90.00
_cell_angle_beta 90.00
_cell_angle_gamma 120.00
_symmetry_space_group_name_H-M 'R -3 m'
_symmetry_Int_Tables_number 166
_symmetry_space_group_name_Hall '-R 3 2"'
loop_
_atom_site_label
_atom_site_type_symbol
_atom_site_fract_x
_atom_site_fract_y
_atom_site_fract_z
La1 La 0.0000 0.0000 0.1140
Np1 Np 0.0000 0.0000 0.5000
Ni1 Ni 0.0000 0.5000 0.0000
Pt1 Pt 0.0009 0.5004 0.3706
Pt2 Pt 0.0192 0.5096 0.8784

Record 2
# Ac2PmU3N8 | Alexandria via LeMat-Bulk | PBE | relaxed
# total magnetic moment	3.045	μB/f.u.
# uncorrected formation energy	-1.290	eV per atom
# N(E_F)	0.7361	states/eV per atom
# energy	-131.50	eV per formula unit
data_Ac2PmU3N8
_chemical_formula_sum 'Ac6 Pm3 U9 N24'
_cell_length_a 7.0539
_cell_length_b 7.0539
_cell_length_c 17.9545
_cell_angle_alpha 90.00
_cell_angle_beta 90.00
_cell_angle_gamma 120.00
_symmetry_space_group_name_H-M 'R 3 m'
_symmetry_Int_Tables_number 160
_symmetry_space_group_name_Hall 'R 3 -2"'
loop_
_atom_site_label
_atom_site_type_symbol
_atom_site_fract_x
_atom_site_fract_y
_atom_site_fract_z
Ac1 Ac 0.0000 0.0000 0.0000
Ac2 Ac 0.0000 0.0000 0.3829
Pm1 Pm 0.0000 0.0000 0.6144
U1 U 0.1673 0.3346 0.8340
N1 N 0.0000 0.0000 0.2290
N2 N 0.0000 0.0000 0.7693
N3 N 0.0434 0.5217 0.7700
N4 N 0.1807 0.3614 0.5653

Record 3
# Ca2CuSe2 | Alexandria via LeMat-Bulk | PBE | relaxed
# total magnetic moment	0.618	μB/f.u.
# uncorrected formation energy	-1.064	eV per atom
# N(E_F)	0.5554	states/eV per atom
# energy	-20.39	eV per formula unit
data_Ca2CuSe2
_chemical_formula_sum 'Ca4 Cu2 Se4'
_cell_length_a 5.796
_cell_length_b 5.796
_cell_length_c 8.690
_cell_angle_alpha 90.00
_cell_angle_beta 90.00
_cell_angle_gamma 90.00
_symmetry_space_group_name_H-M 'I 4/m m m'
_symmetry_Int_Tables_number 139
_symmetry_space_group_name_Hall '-I 4 2'
loop_
_atom_site_label
_atom_site_type_symbol
_atom_site_fract_x
_atom_site_fract_y
_atom_site_fract_z
Ca1 Ca 0.000 0.500 0.250
Cu1 Cu 0.000 0.000 0.000
Se1 Se 0.000 0.000 0.267

Record 4
# MgTlIn2 | Alexandria via LeMat-Bulk | PBE | relaxed
# formation energy from the elements	0.0030	eV per atom
# total magnetic moment	0.000	μB/f.u.
# N(E_F)	0.5247	states/eV per atom
# energy	-9.43	eV per formula unit
data_MgTlIn2
_chemical_formula_sum 'Mg1 Tl1 In2'
_cell_length_a 3.297
_cell_length_b 5.626
_cell_length_c 5.715
_cell_angle_alpha 90.00
_cell_angle_beta 90.20
_cell_angle_gamma 90.00
_symmetry_space_group_name_H-M 'P 1 m 1'
_symmetry_Int_Tables_number 6
_symmetry_space_group_name_Hall 'P -2y'
loop_
_atom_site_label
_atom_site_type_symbol
_atom_site_fract_x
_atom_site_fract_y
_atom_site_fract_z
Mg1 Mg 0.000 0.000 0.000
Tl1 Tl 0.996 0.500 0.327
In1 In 0.496 0.500 0.827
In2 In 0.500 0.000 0.506

> N(E_F) of number 4 (MgTlIn2)?

0.5247 states/eV per atom